Material: Li3Ti4O8
Method: DFT, PBE
State: relaxed Values from VASP.

Output
The magnetization comes out at 0.0000 μB per atom. Its relative energy among the computed polymorphs is 13.9 meV per atom. The uncorrected formation energy comes out at -2.67 eV/atom.

Quantum ESPRESSO input file:
```
&SYSTEM
  ibrav = 0, nat = 15, ntyp = 3
/
ATOMIC_SPECIES
Li 6.94 Li.upf
Ti 47.87 Ti.upf
O 16.00 O.upf
CELL_PARAMETERS angstrom
5.0964 -2.8981 0.0000
5.0964 2.8981 0.0000
-3.2803 0.0000 4.7699
ATOMIC_POSITIONS crystal
Li 0.0000 0.0000 0.0000
Li 0.0000 0.5000 0.5000
Li 0.5000 0.0000 0.5000
Ti 0.0000 0.0000 0.5000
Ti 0.0000 0.5000 0.0000
Ti 0.5000 0.0000 0.0000
Ti 0.5000 0.5000 0.0000
O 0.2421 0.7505 0.2422
O 0.2437 0.2437 0.2161
O 0.2498 0.2498 0.7436
O 0.2495 0.7579 0.7578
O 0.7505 0.2421 0.2422
O 0.7502 0.7502 0.2564
O 0.7563 0.7563 0.7839
O 0.7579 0.2495 0.7578
```